Record 1
This record from Alexandria via LeMat-Bulk describes an optimized crystal structure of Ho2ScC2. The functional is PBE-GGA.

The structure in POSCAR format:
```
Ho2ScC2
1.0
5.050 0.000 0.000
-2.525 5.125 -2.338
0.000 0.293 7.055
Sc Ho C
2 4 4
Cartesian
2.525 1.547 0.024
0.000 3.872 4.692
0.000 0.342 5.155
2.525 5.076 -0.438
0.000 3.543 1.421
2.525 1.875 3.295
2.525 0.278 5.406
2.525 3.463 1.294
0.000 1.956 3.422
0.000 5.141 -0.690
```



Record 2
This record from Alexandria via LeMat-Bulk describes an optimized crystal structure of Ho12ScC7. The functional is PBE-GGA.

The structure in POSCAR format:
```
Ho12ScC7
1.0
7.670 -0.167 -2.336
-3.108 7.014 -2.336
-0.111 -0.167 8.017
Ho C Sc
12 7 1
Cartesian
2.987 3.679 3.983
6.087 1.866 3.415
-1.637 4.814 -0.070
-0.193 5.308 4.898
3.107 6.336 -1.548
1.343 0.343 4.892
2.849 0.966 1.583
0.001 2.506 2.297
4.450 4.174 1.048
4.644 1.372 -1.553
1.463 3.001 -0.638
1.601 5.714 1.762
2.313 0.730 -0.768
-0.798 2.416 0.005
2.225 3.340 1.672
3.740 6.486 0.910
2.137 5.950 4.113
0.710 0.194 2.435
5.248 4.264 3.340
0.000 0.000 0.000
```



Record 3
This record from Alexandria via LeMat-Bulk describes an optimized crystal structure of HoSc3C2. The functional is PBE-GGA.

The structure in POSCAR format:
```
HoSc3C2
1.0
-6.161 -1.612 5.080
1.047 0.759 8.042
-2.685 2.914 4.200
C Ho Sc
4 2 6
Cartesian
0.000 0.000 0.000
-2.557 -0.426 6.561
-3.080 -0.806 2.540
0.524 0.380 4.021
-5.846 1.535 12.992
-1.953 0.525 4.330
-1.429 0.893 8.352
-6.369 1.168 8.970
-4.505 0.089 10.888
-5.028 -0.290 6.873
-2.771 2.351 10.449
-3.293 1.972 6.434
```



Record 4
This record from Alexandria via LeMat-Bulk describes an optimized crystal structure of HoScC. The functional is PBE-GGA.

Polymorph energy (0 for the lowest one) = 0 meV per atom

The structure in POSCAR format:
```
HoScC
1.0
3.457 -0.005 0.000
0.011 5.792 -2.346
0.000 0.235 5.983
Sc C Ho
2 2 2
Cartesian
1.514 0.826 1.229
3.249 4.224 -0.035
1.522 5.457 0.861
3.251 5.385 -2.014
1.520 4.213 2.971
3.242 1.072 4.206
```



Record 5
This record from Alexandria via LeMat-Bulk describes an optimized crystal structure of Ho2Sc4C. The functional is PBE-GGA.

The structure in POSCAR format:
```
Ho2Sc4C
1.0
-4.081 -1.733 0.386
0.129 -1.254 -4.269
1.603 -9.382 0.483
Sc Ho C
4 2 1
Cartesian
0.717 -7.430 -0.117
-2.041 -0.867 0.193
0.065 -0.627 -2.134
-3.067 -4.939 -3.283
-0.636 -4.448 -1.033
-1.714 -7.922 -2.366
0.000 0.000 0.000
```



Record 6
This record from Alexandria via LeMat-Bulk describes an optimized crystal structure of Ho2Sc2C3. The functional is PBE-GGA.

The structure in POSCAR format:
```
Ho2Sc2C3
1.0
3.397 0.000 1.038
0.915 6.634 3.083
0.015 1.440 6.030
Ho Sc C
2 2 3
Cartesian
2.231 1.747 4.855
2.096 6.327 5.297
1.136 4.418 2.361
3.191 3.656 7.791
0.000 0.000 0.000
3.267 5.936 7.541
1.060 2.138 2.610
```



| no. | raw total energy (eV per cell) |
| --- | --- |
| 1 | -70.8 |
| 2 | -131.2 |
| 3 | -85.1 |
| 4 | -42.4 |
| 5 | -43.5 |
| 6 | -51.9 |